1.
A plane-wave DFT calculation with PBE-GGA was carried out for a geometry-optimized Nd7Y2Tm structure.

Values from the calculation:
- SG = Cmmm (65)

The structure in POSCAR format:
```
Nd7Y2Tm
1.0
-3.083 -0.478 1.668
-4.189 -3.649 -8.787
4.094 -7.960 5.287
Nd Y Tm
7 2 1
Cartesian
-1.510 -5.043 -4.235 Nd
1.415 -6.566 0.735 Nd
-0.505 -3.746 1.745 Nd
-2.673 -8.341 -3.576 Nd
-2.626 -2.642 -1.858 Nd
-0.552 -9.444 0.027 Nd
-1.589 -6.043 -0.916 Nd
-4.353 -4.605 -5.611 Y
1.174 -7.481 3.780 Y
0.000 0.000 0.000 Tm
```

***

2.
A plane-wave DFT calculation with PBE-GGA was carried out for a geometry-optimized NdY4Tm6 structure.

Values from the calculation:
- SG = I-42m (121)

The structure in POSCAR format:
```
NdY4Tm6
1.0
-0.179 4.399 6.250
-7.623 -0.560 0.176
4.376 -7.210 0.524
Nd Y Tm
1 4 6
Cartesian
-3.901 1.919 3.213 Nd
-2.064 -6.111 1.145 Y
-6.411 2.370 5.922 Y
2.867 -2.826 5.169 Y
-1.243 -0.173 1.665 Y
-1.897 1.218 6.065 Tm
-5.559 -1.222 3.076 Tm
-1.617 -2.424 3.960 Tm
-3.811 -0.280 0.088 Tm
2.222 -4.313 0.799 Tm
-0.090 2.199 3.125 Tm
```

***

3.
A plane-wave DFT calculation with PBE-GGA was carried out for a geometry-optimized Nd2Y8Tm structure.

Values from the calculation:
- SG = C2/m (12)

The structure in POSCAR format:
```
Nd2Y8Tm
1.0
5.698 1.587 0.000
2.554 8.704 0.000
1.277 4.352 8.017
Nd Y Tm
2 8 1
Cartesian
1.277 4.352 3.110 Nd
2.554 8.704 4.907 Nd
5.299 3.176 1.835 Y
6.576 7.528 6.182 Y
2.774 4.138 0.000 Y
5.403 9.498 3.336 Y
4.126 5.146 4.681 Y
5.478 6.153 0.000 Y
2.953 7.116 1.835 Y
4.230 11.468 6.182 Y
2.849 0.794 0.000 Tm
```

***

4.
A plane-wave DFT calculation with PBE-GGA was carried out for a geometry-optimized Nd6YTm12 structure.

Values from the calculation:
- SG = R-3m (166)

The structure in POSCAR format:
```
Nd6YTm12
1.0
-2.093 5.858 5.966
4.694 -2.820 6.655
6.796 5.271 -0.553
Nd Y Tm
6 1 12
Cartesian
3.118 3.200 9.578 Nd
0.941 5.462 6.405 Nd
5.016 0.250 6.820 Nd
6.280 5.108 2.490 Nd
8.457 2.847 5.663 Nd
4.381 8.059 5.249 Nd
0.000 0.000 0.000 Y
3.915 5.908 7.773 Tm
6.069 3.154 7.993 Tm
6.736 5.721 5.705 Tm
5.482 2.401 4.295 Tm
3.329 5.155 4.075 Tm
2.661 2.588 6.363 Tm
3.647 2.968 1.464 Tm
6.481 8.147 8.104 Tm
8.834 5.137 8.344 Tm
5.751 5.341 10.604 Tm
2.917 0.162 3.964 Tm
0.564 3.172 3.724 Tm
```

***

5.
A plane-wave DFT calculation with PBE-GGA was carried out for a geometry-optimized Nd3Y2Tm6 structure.

Values from the calculation:
- SG = I4/mmm (139)

The structure in POSCAR format:
```
Nd3Y2Tm6
1.0
-4.553 -0.395 -1.214
-1.037 -1.477 4.371
0.175 16.688 3.125
Nd Y Tm
3 2 6
Cartesian
0.000 0.000 0.000 Nd
-4.342 8.363 4.355 Nd
-1.073 6.452 1.926 Nd
-2.375 14.279 4.263 Y
-3.040 0.537 2.018 Y
-1.156 3.097 3.330 Tm
-2.914 3.638 0.538 Tm
-4.258 11.719 2.951 Tm
-2.500 11.178 5.743 Tm
-3.802 5.117 3.386 Tm
-1.613 9.699 2.896 Tm
```

***

6.
A plane-wave DFT calculation with PBE-GGA was carried out for a geometry-optimized Nd4YTm15 structure.

Values from the calculation:
- SG = P4/mmm (123)

The structure in POSCAR format:
```
Nd4YTm15
1.0
4.999 0.000 0.000
0.000 4.999 0.000
0.000 0.000 24.894
Nd Y Tm
4 1 15
Cartesian
0.000 0.000 4.975 Nd
0.000 0.000 9.951 Nd
0.000 0.000 14.942 Nd
0.000 0.000 19.919 Nd
0.000 0.000 0.000 Y
2.500 2.500 0.000 Tm
2.500 2.500 4.962 Tm
2.500 2.500 9.956 Tm
2.500 2.500 14.938 Tm
2.500 2.500 19.932 Tm
2.500 0.000 2.470 Tm
2.500 0.000 7.461 Tm
2.500 0.000 12.447 Tm
2.500 0.000 17.433 Tm
2.500 0.000 22.424 Tm
0.000 2.500 2.470 Tm
0.000 2.500 7.461 Tm
0.000 2.500 12.447 Tm
0.000 2.500 17.433 Tm
0.000 2.500 22.424 Tm
```

***

Values of VASP energy, in order: -4.69, -4.74, -5.82, -4.54, -4.64, -4.60, all in eV/atom.